Entry 1:
# Li2PmMg2Tl2 (PBE, relaxed)
data_Li2PmMg2Tl2
_chemical_formula_sum 'Li2 Pm1 Mg2 Tl2'
_symmetry_space_group_name_H-M 'P 1'
_symmetry_Int_Tables_number 1
_cell_length_a 4.978
_cell_length_b 4.981
_cell_length_c 8.212
_cell_angle_alpha 107.62
_cell_angle_beta 90.04
_cell_angle_gamma 120.06
loop_
_symmetry_equiv_pos_as_xyz
'x,y,z'
loop_
_atom_site_label
_atom_site_type_symbol
_atom_site_fract_x
_atom_site_fract_y
_atom_site_fract_z
Li1 Li 0.143 0.286 0.430
Mg1 Mg 0.574 0.148 0.721
Tl1 Tl 0.733 0.467 0.201
Tl2 Tl 0.267 0.533 0.799
Mg2 Mg 0.426 0.852 0.279
Li2 Li 0.857 0.714 0.570
Pm1 Pm 0.000 0.000 0.000
# * formation enthalpy at 0 K: -0.235 eV per atom

=====

Entry 2:
# P5W (PBE, relaxed)
data_P5W
_chemical_formula_sum 'P5 W1'
_symmetry_space_group_name_H-M 'P 1'
_symmetry_Int_Tables_number 1
_cell_length_a 4.668
_cell_length_b 4.668
_cell_length_c 4.653
_cell_angle_alpha 90.00
_cell_angle_beta 90.00
_cell_angle_gamma 120.00
loop_
_symmetry_equiv_pos_as_xyz
'x,y,z'
loop_
_atom_site_label
_atom_site_type_symbol
_atom_site_fract_x
_atom_site_fract_y
_atom_site_fract_z
P1 P 0.286 0.286 0.000
W1 W 0.000 0.000 0.500
P2 P 0.000 0.714 0.000
P3 P 0.667 0.333 0.500
P4 P 0.714 0.000 0.000
P5 P 0.333 0.667 0.500
# * excess energy over the best structure of this formula in the dataset: 0.402 eV/atom
# * formation enthalpy at 0 K: 0.443 eV per atom

=====

Entry 3:
# LaErS2 (PBE, relaxed)
data_LaErS2
_chemical_formula_sum 'La1 Er1 S2'
_symmetry_space_group_name_H-M 'P 1'
_symmetry_Int_Tables_number 1
_cell_length_a 3.925
_cell_length_b 3.925
_cell_length_c 7.313
_cell_angle_alpha 74.43
_cell_angle_beta 74.43
_cell_angle_gamma 60.00
loop_
_symmetry_equiv_pos_as_xyz
'x,y,z'
loop_
_atom_site_label
_atom_site_type_symbol
_atom_site_fract_x
_atom_site_fract_y
_atom_site_fract_z
La1 La 0.495 0.495 0.516
S1 S 0.259 0.259 0.224
S2 S 0.075 0.075 0.776
Er1 Er 0.672 0.672 0.984
# * formation energy without anion corrections: -46.35 kcal/mol of atoms
# * excess energy over the best structure of this formula in the dataset: 0.062 eV/atom